Compound: YBeGeIr
Source: OQMD via LeMat-Bulk
Functional: PBE-GGA
Structure: optimized geometry

CIF file:
```
data_YBeGeIr
_chemical_formula_sum 'Y1 Be1 Ge1 Ir1'
_symmetry_space_group_name_H-M 'P 1'
_symmetry_Int_Tables_number 1
_cell_length_a 4.478
_cell_length_b 4.478
_cell_length_c 4.478
_cell_angle_alpha 60.00
_cell_angle_beta 60.00
_cell_angle_gamma 60.00
loop_
_symmetry_equiv_pos_as_xyz
'x,y,z'
loop_
_atom_site_label
_atom_site_type_symbol
_atom_site_fract_x
_atom_site_fract_y
_atom_site_fract_z
_atom_site_occupancy
Ge1 Ge 0.250 0.250 0.250 1
Y1 Y 0.500 0.500 0.500 1
Ir1 Ir 0.000 0.000 0.000 1
Be1 Be 0.750 0.750 0.750 1
```

Computed properties:
Space group: F-43m
Calculated density (g/cm³): 9.5
Excess energy over the best structure of this formula in the dataset (meV per atom): 0
Total DFT energy (no corrections) (Ry/atom): -0.463
Spin magnetization (μB/f.u.): 0.00

***

Compound: YBeGeIr
Source: OQMD via LeMat-Bulk
Functional: PBE-GGA
Structure: optimized geometry

CIF file:
```
data_YBeGeIr
_chemical_formula_sum 'Y1 Be1 Ge1 Ir1'
_symmetry_space_group_name_H-M 'P 1'
_symmetry_Int_Tables_number 1
_cell_length_a 4.528
_cell_length_b 4.528
_cell_length_c 4.528
_cell_angle_alpha 60.00
_cell_angle_beta 60.00
_cell_angle_gamma 60.00
loop_
_symmetry_equiv_pos_as_xyz
'x,y,z'
loop_
_atom_site_label
_atom_site_type_symbol
_atom_site_fract_x
_atom_site_fract_y
_atom_site_fract_z
_atom_site_occupancy
Ge1 Ge 0.000 0.000 0.000 1
Be1 Be 0.750 0.750 0.750 1
Y1 Y 0.500 0.500 0.500 1
Ir1 Ir 0.250 0.250 0.250 1
```

Computed properties:
Space group: F-43m
Calculated density (g/cm³): 9.2
Excess energy over the best structure of this formula in the dataset (meV per atom): 190
Total DFT energy (no corrections) (Ry/atom): -0.449
Spin magnetization (μB/f.u.): 0.00

***

Compound: La2BeGe2Pd
Source: OQMD via LeMat-Bulk
Functional: PBE-GGA
Structure: optimized geometry

CIF file:
```
data_La2BeGe2Pd
_chemical_formula_sum 'La2 Be1 Ge2 Pd1'
_symmetry_space_group_name_H-M 'P 1'
_symmetry_Int_Tables_number 1
_cell_length_a 4.281
_cell_length_b 4.281
_cell_length_c 8.475
_cell_angle_alpha 90.00
_cell_angle_beta 90.00
_cell_angle_gamma 120.00
loop_
_symmetry_equiv_pos_as_xyz
'x,y,z'
loop_
_atom_site_label
_atom_site_type_symbol
_atom_site_fract_x
_atom_site_fract_y
_atom_site_fract_z
_atom_site_occupancy
Be1 Be 0.000 0.000 0.500 1
Pd1 Pd 0.333 0.667 0.000 1
Ge1 Ge 0.000 0.000 0.000 1
Ge2 Ge 0.333 0.667 0.500 1
La1 La 0.667 0.333 0.757 1
La2 La 0.667 0.333 0.243 1
```

Computed properties:
Space group: P-6m2
Calculated density (g/cm³): 6.6
Total DFT energy (no corrections) (Ry/atom): -0.397
Spin magnetization (μB/f.u.): 0.04

***

Compound: LaPrBe2Ge2
Source: OQMD via LeMat-Bulk
Functional: PBE-GGA
Structure: optimized geometry

CIF file:
```
data_LaPrBe2Ge2
_chemical_formula_sum 'La1 Pr1 Be2 Ge2'
_symmetry_space_group_name_H-M 'P 1'
_symmetry_Int_Tables_number 1
_cell_length_a 4.032
_cell_length_b 4.032
_cell_length_c 8.721
_cell_angle_alpha 90.00
_cell_angle_beta 90.00
_cell_angle_gamma 120.00
loop_
_symmetry_equiv_pos_as_xyz
'x,y,z'
loop_
_atom_site_label
_atom_site_type_symbol
_atom_site_fract_x
_atom_site_fract_y
_atom_site_fract_z
_atom_site_occupancy
La1 La 0.000 0.000 0.500 1
Ge1 Ge 0.667 0.333 0.753 1
Ge2 Ge 0.333 0.667 0.247 1
Be1 Be 0.667 0.333 0.247 1
Be2 Be 0.333 0.667 0.753 1
Pr1 Pr 0.000 0.000 0.000 1
```

Computed properties:
Space group: P-3m1
Calculated density (g/cm³): 6.0
Total DFT energy (no corrections) (Ry/atom): -0.369
Spin magnetization (μB/f.u.): 0.02

***

- What is the formula in the second record?
  YBeGeIr